1.
First-principles (PBE) data for NiGeBP2 after structural relaxation, as listed in Alexandria.

Geometry as CIF:
```
data_NiGeBP2
_chemical_formula_sum 'Ni1 Ge1 B1 P2'
_cell_length_a 4.2118
_cell_length_b 4.2118
_cell_length_c 4.9706
_cell_angle_alpha 90.00
_cell_angle_beta 90.00
_cell_angle_gamma 90.00
_space_group_name_H-M_alt 'P 4/m m m'
_space_group_IT_number 123
_space_group_name_Hall '-P 4 2'
loop_
_atom_site_label
_atom_site_fract_x
_atom_site_fract_y
_atom_site_fract_z
Ni1 0.0000 0.0000 0.0000
Ge1 0.0000 0.0000 0.5000
B1 0.5000 0.5000 0.5000
P1 0.0000 0.5000 0.0000
```

2.
First-principles (PBE) data for Sc3Ni9GeB2 after structural relaxation, as listed in Alexandria.

Geometry as CIF:
```
data_Sc3Ni9GeB2
_chemical_formula_sum 'Sc3 Ni9 Ge1 B2'
_cell_length_a 5.2348
_cell_length_b 5.2348
_cell_length_c 8.2933
_cell_angle_alpha 90.00
_cell_angle_beta 90.00
_cell_angle_gamma 120.00
_space_group_name_H-M_alt 'P -3 m 1'
_space_group_IT_number 164
_space_group_name_Hall '-P 3 2"'
loop_
_atom_site_label
_atom_site_fract_x
_atom_site_fract_y
_atom_site_fract_z
Sc1 0.0000 0.0000 0.0000
Sc2 0.3333 0.6667 0.6172
Ni1 0.0000 0.5000 0.0000
Ni2 0.1640 0.3279 0.2792
Ge1 0.0000 0.0000 0.5000
B1 0.3333 0.6667 0.1449
```

3.
First-principles (PBE) data for Tc2NiGeB after structural relaxation, as listed in Alexandria.

Geometry as CIF:
```
data_Tc2NiGeB
_chemical_formula_sum 'Tc2 Ni1 Ge1 B1'
_cell_length_a 4.6290
_cell_length_b 4.6290
_cell_length_c 3.6322
_cell_angle_alpha 90.00
_cell_angle_beta 90.00
_cell_angle_gamma 90.00
_space_group_name_H-M_alt 'P 4/m m m'
_space_group_IT_number 123
_space_group_name_Hall '-P 4 2'
loop_
_atom_site_label
_atom_site_fract_x
_atom_site_fract_y
_atom_site_fract_z
Tc1 0.0000 0.5000 0.0000
Ni1 0.0000 0.0000 0.5000
Ge1 0.5000 0.5000 0.0000
B1 0.5000 0.5000 0.5000
```

4.
First-principles (PBE) data for Th2Ni12GeB3 after structural relaxation, as listed in Alexandria.

Geometry as CIF:
```
data_Th2Ni12GeB3
_chemical_formula_sum 'Th6 Ni36 Ge3 B9'
_cell_length_a 7.2289
_cell_length_b 7.2289
_cell_length_c 16.4649
_cell_angle_alpha 90.00
_cell_angle_beta 90.00
_cell_angle_gamma 120.00
_space_group_name_H-M_alt 'R -3 m'
_space_group_IT_number 166
_space_group_name_Hall '-R 3 2"'
loop_
_atom_site_label
_atom_site_fract_x
_atom_site_fract_y
_atom_site_fract_z
Th1 0.0000 0.0000 0.1087
Ni1 0.0012 0.5006 0.8834
Ni2 0.0644 0.5322 0.3500
Ge1 0.0000 0.0000 0.5000
B1 0.0000 0.5000 0.0000
```

5.
First-principles (PBE) data for TiNi2GeB after structural relaxation, as listed in Alexandria.

Geometry as CIF:
```
data_TiNi2GeB
_chemical_formula_sum 'Ti1 Ni2 Ge1 B1'
_cell_length_a 4.4020
_cell_length_b 4.4020
_cell_length_c 4.2011
_cell_angle_alpha 90.00
_cell_angle_beta 90.00
_cell_angle_gamma 90.00
_space_group_name_H-M_alt 'P 4/m m m'
_space_group_IT_number 123
_space_group_name_Hall '-P 4 2'
loop_
_atom_site_label
_atom_site_fract_x
_atom_site_fract_y
_atom_site_fract_z
Ti1 0.0000 0.0000 0.0000
Ni1 0.0000 0.5000 0.0000
Ge1 0.5000 0.5000 0.5000
B1 0.0000 0.0000 0.5000
```

6.
First-principles (PBE) data for Tm2Ni6GeB after structural relaxation, as listed in Alexandria.

Geometry as CIF:
```
data_Tm2Ni6GeB
_chemical_formula_sum 'Tm4 Ni12 Ge2 B2'
_cell_length_a 9.2311
_cell_length_b 5.3186
_cell_length_c 6.5472
_cell_angle_alpha 90.00
_cell_angle_beta 118.07
_cell_angle_gamma 90.00
_space_group_name_H-M_alt 'C 1 2/m 1'
_space_group_IT_number 12
loop_
_space_group_symop_operation_xyz
'x,y,z'
'-x,-y,-z'
'-x,y,-z'
'x,-y,z'
'x+1/2,y+1/2,z'
'-x+1/2,-y+1/2,-z'
'-x+1/2,y+1/2,-z'
'x+1/2,-y+1/2,z'
loop_
_atom_site_label
_atom_site_fract_x
_atom_site_fract_y
_atom_site_fract_z
Tm1 0.2222 0.0000 0.1673
Ni1 0.0295 0.2648 0.3250
Ni2 0.2348 0.0000 0.6744
Ge1 0.0000 0.5000 0.0000
B1 0.0000 0.0000 0.5000
```

7.
First-principles (PBE) data for Zn2Ni5GeB2 after structural relaxation, as listed in Alexandria.

Geometry as CIF:
```
data_Zn2Ni5GeB2
_chemical_formula_sum 'Zn4 Ni10 Ge2 B4'
_cell_length_a 8.7108
_cell_length_b 8.7108
_cell_length_c 2.8500
_cell_angle_alpha 90.00
_cell_angle_beta 90.00
_cell_angle_gamma 90.00
_space_group_name_H-M_alt 'P 4/m b m'
_space_group_IT_number 127
_space_group_name_Hall '-P 4 2ab'
loop_
_atom_site_label
_atom_site_fract_x
_atom_site_fract_y
_atom_site_fract_z
Zn1 0.1761 0.3239 0.0000
Ni1 0.0000 0.5000 0.5000
Ni2 0.0702 0.7805 0.5000
Ge1 0.0000 0.0000 0.0000
B1 0.1226 0.6226 0.0000
```

8.
First-principles (PBE) data for NpGeB after structural relaxation, as listed in Alexandria.

Geometry as CIF:
```
data_NpGeB
_chemical_formula_sum 'Np2 Ge2 B2'
_cell_length_a 3.0605
_cell_length_b 3.0605
_cell_length_c 10.0952
_cell_angle_alpha 90.00
_cell_angle_beta 90.00
_cell_angle_gamma 90.00
_space_group_name_H-M_alt 'I 4 m m'
_space_group_IT_number 107
_space_group_name_Hall 'I 4 -2'
loop_
_atom_site_label
_atom_site_fract_x
_atom_site_fract_y
_atom_site_fract_z
Np1 0.0000 0.0000 0.0000
Ge1 0.0000 0.0000 0.2798
B1 0.0000 0.0000 0.6792
```

Number 1: E_tot -4.358 eV/atom, E_form 1.2211 eV per atom. Number 2: E_tot -6.357 eV/atom, E_form -0.4234 eV per atom. Number 3: E_tot -5.880 eV/atom, E_form 1.6817 eV per atom. Number 4: E_tot -6.214 eV/atom, E_form -0.1661 eV per atom. Number 5: E_tot -4.972 eV/atom, E_form 1.1783 eV per atom. Number 6: E_tot -5.979 eV/atom, E_form -0.4864 eV per atom. Number 7: E_tot -5.165 eV/atom, E_form -0.2222 eV per atom. Number 8: E_tot -7.645 eV/atom, E_form 0.4335 eV per atom.